## SrLiCu2 (SCAN)

Data for a PBEsol-optimized structure of SrLiCu2.

Cell and atoms, written as CIF:
```
data_SrLiCu2
_cell_length_a 4.2346
_cell_length_b 4.2346
_cell_length_c 5.8116
_cell_angle_alpha 68.65
_cell_angle_beta 68.65
_cell_angle_gamma 60.00
_symmetry_space_group_name_H-M 'P 1'
_symmetry_Int_Tables_number 1
loop_
_symmetry_equiv_pos_as_xyz
'x,y,z'
loop_
_atom_site_label
_atom_site_fract_x
_atom_site_fract_y
_atom_site_fract_z
_atom_site_occupancy
Sr1 0.2603 0.2603 0.2193 1
Cu1 0.0577 0.0577 0.8267 1
Cu2 0.7329 0.7329 0.8014 1
Li1 0.4491 0.4491 0.6526 1
```

* formation enthalpy at 0 K: -0.02 eV/atom
* total magnetic moment: 0.000 μB per atom
* ΔE to the lowest computed polymorph: 0.015 eV per atom


## LiTcHg2 (SCAN)

Data for a PBEsol-optimized structure of LiTcHg2.

Cell and atoms, written as CIF:
```
data_LiTcHg2
_cell_length_a 2.8396
_cell_length_b 4.9236
_cell_length_c 5.3612
_cell_angle_alpha 108.22
_cell_angle_beta 105.36
_cell_angle_gamma 90.00
_symmetry_space_group_name_H-M 'P 1'
_symmetry_Int_Tables_number 1
loop_
_symmetry_equiv_pos_as_xyz
'x,y,z'
loop_
_atom_site_label
_atom_site_fract_x
_atom_site_fract_y
_atom_site_fract_z
_atom_site_occupancy
Hg1 0.9949 0.8995 0.9898 1
Hg2 0.7510 0.3377 0.5020 1
Li1 0.5023 0.4227 0.0045 1
Tc1 0.2518 0.8402 0.5036 1
```

* formation enthalpy at 0 K: 0.18 eV/atom
* total magnetic moment: 0.000 μB per atom
* ΔE to the lowest computed polymorph: 0.078 eV per atom


## CuTc2Hg (SCAN)

Data for a PBEsol-optimized structure of CuTc2Hg.

Cell and atoms, written as CIF:
```
data_CuTc2Hg
_cell_length_a 3.2088
_cell_length_b 3.2088
_cell_length_c 5.8748
_cell_angle_alpha 90.00
_cell_angle_beta 90.00
_cell_angle_gamma 90.00
_symmetry_space_group_name_H-M 'P 1'
_symmetry_Int_Tables_number 1
loop_
_symmetry_equiv_pos_as_xyz
'x,y,z'
loop_
_atom_site_label
_atom_site_fract_x
_atom_site_fract_y
_atom_site_fract_z
_atom_site_occupancy
Cu1 0.5000 0.5000 0.0000 1
Hg1 0.5000 0.5000 0.5000 1
Tc1 0.0000 0.0000 0.8044 1
Tc2 0.0000 0.0000 0.1956 1
```

* formation enthalpy at 0 K: 0.55 eV/atom
* total magnetic moment: 0.000 μB per atom


## LiFeP2HO7 (SCAN)

Data for a PBEsol-optimized structure of LiFeP2HO7.

Cell and atoms, written as CIF:
```
data_LiFeP2HO7
_cell_length_a 5.7697
_cell_length_b 7.0541
_cell_length_c 7.0050
_cell_angle_alpha 79.90
_cell_angle_beta 87.15
_cell_angle_gamma 110.09
_symmetry_space_group_name_H-M 'P 1'
_symmetry_Int_Tables_number 1
loop_
_symmetry_equiv_pos_as_xyz
'x,y,z'
loop_
_atom_site_label
_atom_site_fract_x
_atom_site_fract_y
_atom_site_fract_z
_atom_site_occupancy
Li1 0.3643 0.8361 0.1198 1
Li2 0.6357 0.1639 0.8802 1
Fe1 0.8687 0.9304 0.6576 1
Fe2 0.1313 0.0696 0.3424 1
P1 0.3212 0.7648 0.6922 1
P2 0.6788 0.2352 0.3078 1
P3 0.8092 0.6873 0.1274 1
P4 0.1908 0.3127 0.8726 1
H1 0.4420 0.2927 0.6189 1
H2 0.5580 0.7073 0.3811 1
O1 0.1367 0.8299 0.5698 1
O2 0.8633 0.1701 0.4302 1
O3 0.0348 0.8394 0.1926 1
O4 0.9652 0.1606 0.8074 1
O5 0.4173 0.8928 0.8426 1
O6 0.5827 0.1072 0.1574 1
O7 0.5439 0.7631 0.5608 1
O8 0.4561 0.2369 0.4392 1
O9 0.5612 0.6794 0.2360 1
O10 0.4388 0.3206 0.7640 1
O11 0.1640 0.5319 0.7963 1
O12 0.8360 0.4681 0.2037 1
O13 0.2027 0.2870 0.0879 1
O14 0.7973 0.7130 0.9121 1
```

* total magnetic moment: 0.333 μB per atom
* calculated total energy: -9.500 eV/atom


## ReSeCl2 (SCAN)

Data for a PBEsol-optimized structure of ReSeCl2.

Cell and atoms, written as CIF:
```
data_ReSeCl2
_cell_length_a 3.0065
_cell_length_b 4.6395
_cell_length_c 6.4104
_cell_angle_alpha 111.22
_cell_angle_beta 103.56
_cell_angle_gamma 90.00
_symmetry_space_group_name_H-M 'P 1'
_symmetry_Int_Tables_number 1
loop_
_symmetry_equiv_pos_as_xyz
'x,y,z'
loop_
_atom_site_label
_atom_site_fract_x
_atom_site_fract_y
_atom_site_fract_z
_atom_site_occupancy
Re1 0.5060 0.5060 0.0120 1
Se1 0.1665 0.6665 0.3330 1
Cl1 0.9971 0.9971 0.9943 1
Cl2 0.8303 0.3303 0.6606 1
```

* total magnetic moment: 0.001 μB per atom
* E_form (uncorrected): 201 meV per atom
* ΔE to the lowest computed polymorph: 0.132 eV per atom


## Ca2MnCd (SCAN)

Data for a PBEsol-optimized structure of Ca2MnCd.

Cell and atoms, written as CIF:
```
data_Ca2MnCd
_cell_length_a 3.7577
_cell_length_b 3.7577
_cell_length_c 7.1589
_cell_angle_alpha 90.00
_cell_angle_beta 90.00
_cell_angle_gamma 89.98
_symmetry_space_group_name_H-M 'P 1'
_symmetry_Int_Tables_number 1
loop_
_symmetry_equiv_pos_as_xyz
'x,y,z'
loop_
_atom_site_label
_atom_site_fract_x
_atom_site_fract_y
_atom_site_fract_z
_atom_site_occupancy
Ca1 0.0000 0.0000 0.2426 1
Ca2 0.0000 0.0000 0.7574 1
Mn1 0.5000 0.5000 0.0000 1
Cd1 0.5000 0.5000 0.5000 1
```

* formation enthalpy at 0 K: -0.11 eV/atom
* total magnetic moment: 1.037 μB per atom


## CaGe2PO (SCAN)

Data for a PBEsol-optimized structure of CaGe2PO.

Cell and atoms, written as CIF:
```
data_CaGe2PO
_cell_length_a 4.4706
_cell_length_b 4.4706
_cell_length_c 5.5545
_cell_angle_alpha 90.00
_cell_angle_beta 90.00
_cell_angle_gamma 90.00
_symmetry_space_group_name_H-M 'P 1'
_symmetry_Int_Tables_number 1
loop_
_symmetry_equiv_pos_as_xyz
'x,y,z'
loop_
_atom_site_label
_atom_site_fract_x
_atom_site_fract_y
_atom_site_fract_z
_atom_site_occupancy
P1 0.0000 0.0000 0.0000 1
Ge1 0.0000 0.5000 0.0000 1
Ge2 0.5000 0.0000 0.0000 1
Ca1 0.0000 0.0000 0.5000 1
O1 0.5000 0.5000 0.5000 1
```

* total magnetic moment: 0.159 μB per atom
* E_form (uncorrected): 254 meV per atom


## KCd2Rh (SCAN)

Data for a PBEsol-optimized structure of KCd2Rh.

Cell and atoms, written as CIF:
```
data_KCd2Rh
_cell_length_a 3.0762
_cell_length_b 4.3928
_cell_length_c 7.5635
_cell_angle_alpha 90.00
_cell_angle_beta 90.02
_cell_angle_gamma 90.00
_symmetry_space_group_name_H-M 'P 1'
_symmetry_Int_Tables_number 1
loop_
_symmetry_equiv_pos_as_xyz
'x,y,z'
loop_
_atom_site_label
_atom_site_fract_x
_atom_site_fract_y
_atom_site_fract_z
_atom_site_occupancy
Cd1 0.8745 0.0000 0.9108 1
Cd2 0.8747 0.5000 0.1831 1
K1 0.3764 0.0000 0.5169 1
Rh1 0.3744 0.5000 0.8892 1
```

* formation enthalpy at 0 K: 0.05 eV/atom
* total magnetic moment: 0.000 μB per atom
* ΔE to the lowest computed polymorph: 0.000 eV per atom


Q: What is the total magnetic moment in the sixth record?
A: 1.037 μB per atom


Copy entry 1 word for word.
## SrLiCu2 (SCAN)

Data for a PBEsol-optimized structure of SrLiCu2.

Cell and atoms, written as CIF:
```
data_SrLiCu2
_cell_length_a 4.2346
_cell_length_b 4.2346
_cell_length_c 5.8116
_cell_angle_alpha 68.65
_cell_angle_beta 68.65
_cell_angle_gamma 60.00
_symmetry_space_group_name_H-M 'P 1'
_symmetry_Int_Tables_number 1
loop_
_symmetry_equiv_pos_as_xyz
'x,y,z'
loop_
_atom_site_label
_atom_site_fract_x
_atom_site_fract_y
_atom_site_fract_z
_atom_site_occupancy
Sr1 0.2603 0.2603 0.2193 1
Cu1 0.0577 0.0577 0.8267 1
Cu2 0.7329 0.7329 0.8014 1
Li1 0.4491 0.4491 0.6526 1
```

* formation enthalpy at 0 K: -0.02 eV/atom
* total magnetic moment: 0.000 μB per atom
* ΔE to the lowest computed polymorph: 0.015 eV per atom


Q: What is the total magnetic moment in the third record?
A: 0.000 μB per atom